A PBEsol-optimized structure of Ca2AlSe2. Source: Alexandria via LeMat-Bulk, functional meta-GGA SCAN.

For the volume, the calculation gives 149.8 Å³/f.u. The density of states at the Fermi level is 5.10 states/eV/cell. As for the uncorrected formation energy: -891 meV/atom. Its total energy is -71.69 eV/f.u. As for the crystal system: tetragonal. The theoretical density is 2.94 g cm⁻³.

It has space group I4/mmm (No. 139), with a = 4.9250 Å, b = 4.9250 Å, c = 12.3519 Å, α = 90.00°, β = 90.00° and γ = 90.00°. Symmetry generates all atoms from Ca at (0.0000, 0.5000, 0.2500), Al at (0.0000, 0.0000, 0.0000) and Se at (0.0000, 0.0000, 0.3643).